Record 1
Ba2CdGaN | GGA-PBE | relaxed

## Properties
As for the uncorrected formation energy: -0.40 eV per atom.

abc: 4.2634 8.1059 9.6566
angles: 114.04 90.00 90.00
Closest atoms and distances in Å follow each position.
Positions (direct):
Ba: 0.7500 0.8057 0.6073  2 N 2.98
Ba: 0.7500 0.8095 0.0262  3 N 2.73-2.89
Ba: 0.2500 0.1943 0.3927  2 N 2.98
Ba: 0.2500 0.1905 0.9738  3 N 2.73-2.89
Cd: 0.2500 0.6702 0.2728  2 Ga 2.87
Cd: 0.7500 0.3298 0.7272  2 Ga 2.87
Ga: 0.2500 0.5665 0.7281  1 N 1.90
Ga: 0.7500 0.4335 0.2719  1 N 1.90
N: 0.2500 0.8225 0.8288  1 Ga 1.90
N: 0.7500 0.1775 0.1712  1 Ga 1.90

***

Record 2
BaNaCd2Ga | GGA-PBE | relaxed

abc: 5.3768 5.3768 5.5541
angles: 90.00 90.00 90.00
Closest atoms and distances in Å follow each position.
Positions (direct):
Na: 0.0000 0.0000 0.5000  2 Ga 2.78
Ba: 0.5000 0.5000 0.5000  4 Na 3.80, 8 Cd 3.87
Ga: 0.0000 0.0000 0.0000  4 Cd 2.69, 2 Na 2.78
Cd: 0.0000 0.5000 0.0000  2 Ga 2.69
Cd: 0.5000 0.0000 0.0000  2 Ga 2.69

***

Record 3
Ba2NaCdGa | GGA-PBE | relaxed

abc: 6.6005 6.6005 5.0797
angles: 90.00 90.00 90.00
Closest atoms and distances in Å follow each position.
Positions (direct):
Na: 0.5000 0.5000 0.5000  8 Ba 4.16
Ba: 0.0000 0.5000 0.0000  2 Ga 3.30
Ba: 0.5000 0.0000 0.0000  2 Ga 3.30
Ga: 0.0000 0.0000 0.0000  2 Cd 2.54
Cd: 0.0000 0.0000 0.5000  2 Ga 2.54

***

Number 1: VASP energy -0.133 Ha/atom, Fermi-level density of states 4.8 states/eV per cell. Number 2: VASP energy -0.062 Ha/atom, Fermi-level density of states 2.5 states/eV per cell. Number 3: VASP energy -0.070 Ha/atom, Fermi-level density of states 4.3 states/eV per cell.